(1)
Entry from Alexandria: a crystal of Sc2NiHg relaxed with PBEsol (meta-GGA SCAN).

abc: 3.2169 3.2169 6.9435
angles: 90.00 90.00 90.00
Last column: nearest neighbours and their distance in Å.
Space group P4/mmm (No. 123)
Symmetry-distinct sites (fractional):
Sc (0.0000, 0.0000, 0.2162)  4 Ni 2.73, 1 Sc 3.00, 4 Hg 3.01
Ni (0.5000, 0.5000, 0.0000)  8 Sc 2.73
Hg (0.5000, 0.5000, 0.5000)  8 Sc 3.01, 4 Hg 3.22

**V**: 17.964 Å³/atom
**Uncorrected energy**: -28.79 eV per atom
**E_form**: -0.585 eV/atom

=====

(2)
Entry from Alexandria: a crystal of Re2BiC relaxed with PBEsol (meta-GGA SCAN).

abc: 6.1933 6.1933 6.1933
angles: 90.00 90.00 90.00
Last column: nearest neighbours and their distance in Å.
Space group Fm-3m (No. 225)
Symmetry-distinct sites (fractional):
Re (0.2500, 0.2500, 0.2500)  4 Bi 2.68, 4 C 2.68
Bi (0.0000, 0.0000, 0.0000)  8 Re 2.68
C (0.0000, 0.0000, 0.5000)  8 Re 2.68

**V**: 14.847 Å³/atom
**Uncorrected energy**: -55.49 eV per atom
**E_form**: 2.225 eV/atom

=====

(3)
Entry from Alexandria: a crystal of CoMo2Cl relaxed with PBEsol (meta-GGA SCAN).

abc: 2.8114 2.8114 24.8161
angles: 90.00 90.00 120.00
Last column: nearest neighbours and their distance in Å.
Space group R3m (No. 160, hexagonal axes)
Symmetry-distinct sites (fractional):
Co (0.0000, 0.0000, 0.0000)  3 Mo 2.49, 3 Cl 2.65
Mo (0.0000, 0.0000, 0.5058)  3 Cl 2.50
Mo (0.0000, 0.0000, 0.7428)  3 Co 2.49
Cl (0.0000, 0.0000, 0.2489)  3 Mo 2.50, 3 Co 2.65

**Energy above the most stable polymorph in this dataset**: 89 meV/atom
**V**: 14.156 Å³/atom
**Uncorrected energy**: -23.37 eV per atom

=====

(4)
Entry from Alexandria: a crystal of CaPt2 relaxed with PBEsol (meta-GGA SCAN).

abc: 5.3595 5.3595 8.8331
angles: 90.00 90.00 120.00
Last column: nearest neighbours and their distance in Å.
Space group P6_3/mmc (No. 194)
Symmetry-distinct sites (fractional):
Ca (0.3333, 0.6667, 0.0652)  12 Pt 3.14-3.18, 4 Ca 3.27-3.30
Pt (0.0000, 0.0000, 0.0000)  6 Pt 2.71
Pt (0.1688, 0.3375, 0.7500)  6 Pt 2.65-2.71

**V**: 18.311 Å³/atom
**Uncorrected energy**: -51.03 eV per atom
**E_form**: -1.017 eV/atom

=====

(5)
Entry from Alexandria: a crystal of Sr2NiIrO6 relaxed with PBEsol (meta-GGA SCAN).

abc: 5.4605 5.4605 7.9475
angles: 90.00 90.00 90.00
Last column: nearest neighbours and their distance in Å.
Space group I4/m (No. 87)
Symmetry-distinct sites (fractional):
Sr (0.0000, 0.5000, 0.2500)  8 O 2.54-2.73
Ni (0.0000, 0.0000, 0.0000)  6 O 1.98-2.02
Ir (0.0000, 0.0000, 0.5000)  6 O 1.94-1.96
O (0.0000, 0.0000, 0.2539)  1 Ir 1.96, 1 Ni 2.02
O (0.2031, 0.7075, 0.5000)  1 Ir 1.94, 1 Ni 1.98

**V**: 11.849 Å³/atom
**Uncorrected energy**: -18.88 eV per atom

=====

(6)
Entry from Alexandria: a crystal of YTaIn2 relaxed with PBEsol (meta-GGA SCAN).

abc: 10.0351 3.0859 5.8038
angles: 90.00 97.60 90.00
Last column: nearest neighbours and their distance in Å.
Space group C2/m (No. 12)
Symmetry-distinct sites (fractional):
Y (0.0000, 0.0000, 0.0000)  2 Y 3.09, 6 In 3.10-3.23, 4 Ta 3.29
Ta (0.0000, 0.5000, 0.5000)  6 In 3.03-3.04, 2 Ta 3.09, 4 Y 3.29
In (0.2445, 0.0000, 0.7252)  3 Ta 3.03-3.04, 4 In 3.05-3.09, 3 Y 3.10-3.23

**V**: 22.268 Å³/atom
**Uncorrected energy**: -40.28 eV per atom
**E_form**: 0.016 eV/atom

=====

(7)
Entry from Alexandria: a crystal of La5Ag3 relaxed with PBEsol (meta-GGA SCAN).

abc: 12.1144 12.1144 6.0867
angles: 90.00 90.00 90.00
Last column: nearest neighbours and their distance in Å.
Space group I4/mcm (No. 140)
Symmetry-distinct sites (fractional):
La (0.0000, 0.5000, 0.2500)  2 La 3.04, 4 Ag 3.16
La (0.0873, 0.2196, 0.0000)  6 Ag 3.12-3.48, 1 La 3.31
Ag (0.0000, 0.0000, 0.2500)  2 Ag 3.04, 8 La 3.24
Ag (0.1616, 0.3384, 0.5000)  10 La 3.12-3.48

**Energy above the most stable polymorph in this dataset**: 29 meV/atom
**V**: 27.915 Å³/atom
**Uncorrected energy**: -38.89 eV per atom
**E_form**: -0.189 eV/atom

=====

(8)
Entry from Alexandria: a crystal of AlPtRh2 relaxed with PBEsol (meta-GGA SCAN).

abc: 6.0865 6.0865 6.0865
angles: 90.00 90.00 90.00
Last column: nearest neighbours and their distance in Å.
Space group F-43m (No. 216)
Symmetry-distinct sites (fractional):
Al (0.0000, 0.0000, 0.0000)  4 Rh 2.64, 4 Pt 2.64
Pt (0.2500, 0.2500, 0.2500)  4 Al 2.64, 4 Rh 2.64
Rh (0.0000, 0.0000, 0.5000)  4 Pt 2.64, 4 Rh 2.64
Rh (0.2500, 0.2500, 0.7500)  4 Al 2.64, 4 Rh 2.64

**V**: 14.092 Å³/atom
**Uncorrected energy**: -36.81 eV per atom
**E_form**: -0.435 eV/atom

=====

Look up the V of the fourth one. 18.311 Å³/atom

=====

The lowest uncorrected energy belongs to which entry? Re2BiC

=====

Look up the uncorrected energy of the eighth one. -36.81 eV per atom

=====

The lowest V belongs to which entry? Sr2NiIrO6